DFT (PBE) results for a geometry-optimized AlTcSb2C structure.

Unit cell a=4.903 b=4.903 c=3.957 alpha=90.00 beta=90.00 gamma=90.00
Fractional positions:
Al  0.000  0.000  0.000
Tc  0.500  0.500  0.000
Sb  0.000  0.500  0.500
Sb  0.500  0.000  0.500
C  0.500  0.500  0.500

Values from the calculation:
As for the space-group type: P4/mmm. The value obtained for the density of states at the Fermi level is 0.728 states/eV/atom. The calculated total energy comes out at -0.402 Ry/atom.

=====

DFT (PBE) results for a geometry-optimized CeMg2Cd2In2 structure.

Unit cell a=8.805 b=8.805 c=8.805 alpha=32.14 beta=32.14 gamma=32.14
Fractional positions:
Ce  0.000  0.000  0.000
Mg  0.139  0.139  0.139
Mg  0.861  0.861  0.861
Cd  0.431  0.431  0.431
Cd  0.569  0.569  0.569
In  0.265  0.265  0.265
In  0.735  0.735  0.735

Values from the calculation:
As for the space-group type: R-3m. The value obtained for the density of states at the Fermi level is 1.250 states/eV/atom. The calculation puts the energy relative to the elements at -0.182 eV per atom.

=====

DFT (PBE) results for a geometry-optimized CeTm2Sc6 structure.

Unit cell a=9.151 b=9.151 c=3.248 alpha=90.00 beta=90.00 gamma=120.00
Fractional positions:
Ce  0.000  0.000  0.000
Tm  0.333  0.667  0.000
Tm  0.667  0.333  0.000
Sc  0.000  0.334  0.500
Sc  0.000  0.666  0.500
Sc  0.334  0.000  0.500
Sc  0.334  0.334  0.500
Sc  0.666  0.000  0.500
Sc  0.666  0.666  0.500

Values from the calculation:
As for the space-group type: P6/mmm. The value obtained for the density of states at the Fermi level is 2.007 states/eV/atom. The calculation puts the energy relative to the elements at 0.058 eV per atom.

=====

DFT (PBE) results for a geometry-optimized MnVNi2Os structure.

Unit cell a=4.211 b=4.211 c=3.964 alpha=90.00 beta=90.00 gamma=90.00
Fractional positions:
Mn  0.000  0.000  0.000
V  0.000  0.000  0.500
Ni  0.000  0.500  0.500
Ni  0.500  0.000  0.500
Os  0.500  0.500  0.000

Values from the calculation:
As for the space-group type: P4/mmm. The value obtained for the density of states at the Fermi level is 1.473 states/eV/atom. The calculation puts the energy relative to the elements at 1.391 eV per atom.

=====

DFT (PBE) results for a geometry-optimized Al2IrOs structure.

Unit cell a=4.944 b=4.944 c=4.944 alpha=136.31 beta=136.31 gamma=63.50
Fractional positions:
Al  0.000  0.000  0.000
Al  0.750  0.250  0.500
Ir  0.250  0.750  0.500
Os  0.500  0.500  0.000

Values from the calculation:
As for the space-group type: I-4m2. The value obtained for the density of states at the Fermi level is 0.671 states/eV/atom. The calculation puts the energy relative to the elements at -0.344 eV per atom.

=====

DFT (PBE) results for a geometry-optimized Mn5InPt6 structure.

Unit cell a=7.490 b=7.490 c=7.490 alpha=147.76 beta=122.59 gamma=67.39
Fractional positions:
Mn  0.000  0.000  0.000
Mn  0.170  0.670  0.500
Mn  0.334  0.334  0.000
Mn  0.666  0.666  0.000
Mn  0.830  0.330  0.500
In  0.500  0.000  0.500
Pt  0.073  0.831  0.242
Pt  0.234  0.500  0.734
Pt  0.412  0.169  0.242
Pt  0.588  0.831  0.758
Pt  0.766  0.500  0.266
Pt  0.927  0.169  0.758

Values from the calculation:
As for the space-group type: Immm. The value obtained for the density of states at the Fermi level is 0.402 states/eV/atom. The calculation puts the energy relative to the elements at -0.386 eV per atom.

=====

DFT (PBE) results for a geometry-optimized SmHoHg6 structure.

Unit cell a=5.025 b=6.668 c=6.668 alpha=60.74 beta=90.00 gamma=90.00
Fractional positions:
Sm  0.000  0.000  0.000
Ho  0.500  0.678  0.678
Hg  0.000  0.007  0.499
Hg  0.000  0.499  0.007
Hg  0.000  0.509  0.509
Hg  0.500  0.172  0.172
Hg  0.500  0.182  0.663
Hg  0.500  0.663  0.182

Values from the calculation:
As for the space-group type: Amm2. The value obtained for the density of states at the Fermi level is 0.664 states/eV/atom. The calculation puts the energy relative to the elements at -0.353 eV per atom.

=====

DFT (PBE) results for a geometry-optimized PbIN2Cl structure.

Unit cell a=4.497 b=4.497 c=5.162 alpha=90.00 beta=90.00 gamma=90.00
Fractional positions:
Pb  0.000  0.000  0.000
I  0.500  0.500  0.000
N  0.000  0.500  0.500
N  0.500  0.000  0.500
Cl  0.500  0.500  0.500

Values from the calculation:
As for the space-group type: P4/mmm. The value obtained for the density of states at the Fermi level is 0.435 states/eV/atom. The calculated total energy comes out at -0.200 Ry/atom.

=====

What is the formula in the eighth record?
PbIN2Cl